Record 1
Material: PrTlRu2O8
Method: DFT, PBE
State: relaxed

a = 6.101 Å, b = 6.101 Å, c = 7.900 Å
α = 90.00°, β = 90.00°, γ = 120.00°
Positions (direct):
Pr 0.000 0.000 0.000
Tl 0.000 0.000 0.500
Ru 0.333 0.667 0.270
Ru 0.667 0.333 0.730
O 0.168 0.346 0.191
O 0.178 0.832 0.191
O 0.333 0.667 0.491
O 0.346 0.178 0.809
O 0.654 0.822 0.191
O 0.667 0.333 0.509
O 0.822 0.168 0.809
O 0.832 0.654 0.809

Calculated values
space group: P-3 (147)
DOS at the Fermi energy: 1.40 states/eV per cell
formation energy (no corrections): -1.287 eV/atom
final energy: -80.8 eV for the cell shown

Record 2
Material: CeDyPb6
Method: DFT, PBE
State: relaxed

a = 4.906 Å, b = 4.906 Å, c = 9.765 Å
α = 90.00°, β = 90.00°, γ = 90.00°
Positions (direct):
Ce 0.000 0.000 0.000
Dy 0.000 0.000 0.500
Pb 0.000 0.500 0.253
Pb 0.000 0.500 0.747
Pb 0.500 0.000 0.253
Pb 0.500 0.000 0.747
Pb 0.500 0.500 0.000
Pb 0.500 0.500 0.500

Calculated values
space group: P4/mmm (123)
formation energy: -2.50 eV/f.u.
DOS at the Fermi energy: 9.11 states/eV per cell
final energy: -35.3 eV for the cell shown

Question: Which of these has the highest final energy?
Answer: CeDyPb6

Question: What is the final energy in the second record?
Answer: -35.3 eV for the cell shown

What did the first record say?
Material: PrTlRu2O8
Method: DFT, PBE
State: relaxed

a = 6.101 Å, b = 6.101 Å, c = 7.900 Å
α = 90.00°, β = 90.00°, γ = 120.00°
Positions (direct):
Pr 0.000 0.000 0.000
Tl 0.000 0.000 0.500
Ru 0.333 0.667 0.270
Ru 0.667 0.333 0.730
O 0.168 0.346 0.191
O 0.178 0.832 0.191
O 0.333 0.667 0.491
O 0.346 0.178 0.809
O 0.654 0.822 0.191
O 0.667 0.333 0.509
O 0.822 0.168 0.809
O 0.832 0.654 0.809

Calculated values
space group: P-3 (147)
DOS at the Fermi energy: 1.40 states/eV per cell
formation energy (no corrections): -1.287 eV/atom
final energy: -80.8 eV for the cell shown